TmZrV4 | PBE | optimized geometry

The value obtained for the total magnetization is 0.00 μB per cell. The formation energy comes out at 0.21 eV/atom. For the total DFT energy (no corrections), the calculation gives -8.04 eV/atom.

a b c (Å): 7.4477 7.4477 7.4477
angles (deg): 90.00 90.00 90.00
With the nearest neighbours (Å) after each atom.
Space group F-43m (No. 216)
Inequivalent atoms, fractional coordinates:
1 Tm 0.0000 0.0000 0.0000 x4  12 V 3.09, 4 Zr 3.22
2 Zr 0.2500 0.2500 0.7500 x4  12 V 3.09, 4 Tm 3.22
3 V 0.1254 0.1254 0.3746 x16  6 V 2.63-2.64